Below is a relaxed structure of KLiAg, with properties calculated at the GGA-PBE level.

Calculated values
ρ: 2.72 g cm⁻³

Cell lengths 7.218, 7.218, 7.218 Å; angles 90.00, 90.00, 90.00 degrees
Fractional positions:
K1 0.000 0.000 0.000
K2 0.000 0.500 0.500
K3 0.500 0.000 0.500
K4 0.500 0.500 0.000
Li1 0.250 0.250 0.250
Li2 0.250 0.750 0.750
Li3 0.750 0.250 0.750
Li4 0.750 0.750 0.250
Ag1 0.000 0.000 0.500
Ag2 0.000 0.500 0.000
Ag3 0.500 0.000 0.000
Ag4 0.500 0.500 0.500


Below is a relaxed structure of KLiAg, with properties calculated at the GGA-PBE level.

Calculated values
ρ: 2.94 g cm⁻³

Cell lengths 3.770, 3.770, 12.213 Å; angles 90.00, 90.00, 90.00 degrees
Fractional positions:
K1 0.000 0.000 0.000
K2 0.500 0.500 0.500
Li1 0.000 0.000 0.733
Li2 0.500 0.500 0.233
Ag1 0.000 0.000 0.290
Ag2 0.500 0.500 0.790


Below is a relaxed structure of KLiAg2, with properties calculated at the GGA-PBE level.

Calculated values
ρ: 4.76 g cm⁻³

Cell lengths 3.260, 5.443, 10.289 Å; angles 90.00, 90.00, 90.00 degrees
Fractional positions:
K1 0.000 0.000 0.000
K2 0.500 0.500 0.500
Li1 0.000 0.000 0.500
Li2 0.500 0.500 0.000
Ag1 0.000 0.500 0.212
Ag2 0.000 0.500 0.788
Ag3 0.500 0.000 0.288
Ag4 0.500 0.000 0.712


Below is a relaxed structure of KLiAg2, with properties calculated at the GGA-PBE level.

Calculated values
ρ: 4.58 g cm⁻³

Cell lengths 4.677, 4.677, 8.677 Å; angles 90.00, 90.00, 90.00 degrees
Fractional positions:
K1 0.000 0.000 0.000
K2 0.500 0.500 0.500
Li1 0.000 0.500 0.750
Li2 0.500 0.000 0.250
Ag1 0.000 0.000 0.500
Ag2 0.000 0.500 0.250
Ag3 0.500 0.000 0.750
Ag4 0.500 0.500 0.000


Below is a relaxed structure of KLiAg4, with properties calculated at the GGA-PBE level.

Calculated values
ρ: 5.95 g cm⁻³

Cell lengths 5.735, 5.735, 5.735 Å; angles 60.00, 60.00, 60.00 degrees
Fractional positions:
K1 0.000 0.000 0.000
Li1 0.750 0.750 0.750
Ag1 0.376 0.376 0.376
Ag2 0.376 0.376 0.873
Ag3 0.376 0.873 0.376
Ag4 0.873 0.376 0.376


Below is a relaxed structure of KLiAg2, with properties calculated at the GGA-PBE level.

Calculated values
ρ: 4.36 g cm⁻³

Cell lengths 3.291, 5.547, 10.917 Å; angles 90.00, 90.00, 90.00 degrees
Fractional positions:
K1 0.000 0.000 0.000
K2 0.500 0.500 0.500
Li1 0.000 0.500 0.799
Li2 0.500 0.000 0.299
Ag1 0.000 0.000 0.504
Ag2 0.000 0.500 0.218
Ag3 0.500 0.000 0.718
Ag4 0.500 0.500 0.004


Number 1: uncorrected energy -1.734 eV/atom. Number 2: uncorrected energy -1.929 eV/atom. Number 3: uncorrected energy -2.049 eV/atom. Number 4: uncorrected energy -2.055 eV/atom. Number 5: uncorrected energy -2.414 eV/atom. Number 6: uncorrected energy -2.083 eV/atom.